DFT (PBE) results for an optimized crystal structure of K2Bi4PbAu3.

Calculated values
calculated total energy: -3.314 eV per atom
formation energy from the elements: -0.188 eV/atom

Cell: 5.0952 5.0952 12.1718 Å, 90.00 90.00 90.00°
Sites, in units of the cell vectors:
K: 0.5000 0.0000 0.2487
K: 0.0000 0.5000 0.7513
Bi: 0.5000 0.5000 0.0000
Bi: 0.0000 0.0000 0.0000
Bi: 0.5000 0.0000 0.6436
Bi: 0.0000 0.5000 0.3564
Pb: 0.5000 0.5000 0.5000
Au: 0.0000 0.0000 0.5000
Au: 0.5000 0.0000 0.8767
Au: 0.0000 0.5000 0.1233